#one
Density functional theory data (PBE-GGA) for a geometry-optimized Si5Rh3 structure.

Computed properties:
DOS at the Fermi energy, states/eV per cell: 8.992

a = 7.5158 Å, b = 7.5158 Å, c = 4.6775 Å
α = 90.00°, β = 90.00°, γ = 120.00°
Fractional positions:
Si (0.0000, 0.2584, 0.2500)
Si (0.0000, 0.7416, 0.7500)
Si (0.2584, 0.0000, 0.2500)
Si (0.2584, 0.2584, 0.7500)
Si (0.3333, 0.6667, 0.0000)
Si (0.3333, 0.6667, 0.5000)
Si (0.6667, 0.3333, 0.0000)
Si (0.6667, 0.3333, 0.5000)
Si (0.7416, 0.0000, 0.7500)
Si (0.7416, 0.7416, 0.2500)
Rh (0.0000, 0.3693, 0.7500)
Rh (0.0000, 0.6307, 0.2500)
Rh (0.3693, 0.0000, 0.7500)
Rh (0.3693, 0.3693, 0.2500)
Rh (0.6307, 0.0000, 0.2500)
Rh (0.6307, 0.6307, 0.7500)

#two
Density functional theory data (PBE-GGA) for a geometry-optimized Si5Rh3 structure.

Computed properties:
DOS at the Fermi energy, states/eV per cell: 5.590

a = 5.1209 Å, b = 5.1209 Å, c = 4.1667 Å
α = 90.00°, β = 90.00°, γ = 91.26°
Fractional positions:
Si (0.0000, 0.0000, 0.0000)
Si (0.0000, 0.5000, 0.0000)
Si (0.2989, 0.7011, 0.5000)
Si (0.5000, 0.0000, 0.0000)
Si (0.7011, 0.2989, 0.5000)
Rh (0.1972, 0.1972, 0.5000)
Rh (0.5000, 0.5000, 0.0000)
Rh (0.8028, 0.8028, 0.5000)

Which structure is the least stable? The one labeled #one.

#one
Density functional theory data (PBE-GGA) for a geometry-optimized SiRh4 structure.

Computed properties:
DOS at the Fermi energy, states/eV per cell: 4.542

a = 4.6371 Å, b = 4.6371 Å, c = 4.6371 Å
α = 100.08°, β = 100.08°, γ = 130.54°
Fractional positions:
Si (0.0000, 0.0000, 0.0000)
Rh (0.1995, 0.3935, 0.5930)
Rh (0.3935, 0.8005, 0.1940)
Rh (0.6065, 0.1995, 0.8060)
Rh (0.8005, 0.6065, 0.4070)

#two
Density functional theory data (PBE-GGA) for a geometry-optimized SiRh4 structure.

Computed properties:
DOS at the Fermi energy, states/eV per cell: 9.530

a = 4.7332 Å, b = 4.7332 Å, c = 4.7332 Å
α = 109.47°, β = 109.47°, γ = 109.47°
Fractional positions:
Si (0.0000, 0.0000, 0.0000)
Rh (0.0000, 0.0000, 0.5000)
Rh (0.0000, 0.5000, 0.0000)
Rh (0.5000, 0.0000, 0.0000)
Rh (0.5000, 0.5000, 0.5000)

Which structure is the least stable? The one labeled #two.

#one
Density functional theory data (PBE-GGA) for a geometry-optimized SmSiRh3 structure.

Computed properties:
DOS at the Fermi energy, states/eV per cell: 5.712

a = 6.2725 Å, b = 6.2725 Å, c = 6.2725 Å
α = 127.78°, β = 104.57°, γ = 97.80°
Fractional positions:
Sm (0.2558, 0.0058, 0.2500)
Sm (0.7442, 0.9942, 0.7500)
Si (0.0000, 0.5000, 0.5000)
Si (0.5000, 0.5000, 0.0000)
Rh (0.0828, 0.3328, 0.7500)
Rh (0.2923, 0.0000, 0.7923)
Rh (0.2923, 0.5000, 0.2923)
Rh (0.7077, 0.0000, 0.2077)
Rh (0.7077, 0.5000, 0.7077)
Rh (0.9172, 0.6672, 0.2500)

#two
Density functional theory data (PBE-GGA) for a geometry-optimized SmSiRh3 structure.

Computed properties:
DOS at the Fermi energy, states/eV per cell: 0.400

a = 4.4872 Å, b = 4.4872 Å, c = 4.4872 Å
α = 90.00°, β = 90.00°, γ = 90.00°
Fractional positions:
Sm (0.0000, 0.0000, 0.0000)
Si (0.5000, 0.5000, 0.5000)
Rh (0.0000, 0.5000, 0.5000)
Rh (0.5000, 0.0000, 0.5000)
Rh (0.5000, 0.5000, 0.0000)

Which structure is the least stable? The one labeled #two.